No. 1
! BaMn2Ru (PBE, relaxed); values from VASP
&SYSTEM
  ibrav = 0, nat = 4, ntyp = 3
/
ATOMIC_SPECIES
Ba 137.33 Ba.upf
Mn 54.94 Mn.upf
Ru 101.07 Ru.upf
CELL_PARAMETERS angstrom
2.156 1.244 5.912
-2.156 1.244 5.912
0.000 -2.489 5.912
ATOMIC_POSITIONS crystal
Ba 0.000 0.000 0.000
Mn 0.194 0.194 0.194
Mn 0.806 0.806 0.806
Ru 0.500 0.500 0.500
! calculated volume = 95.2 Å³/cell
! electronic total energy = -27.85 eV per formula unit

***

No. 2
! BaMnRu2 (PBE, relaxed); values from VASP
&SYSTEM
  ibrav = 0, nat = 4, ntyp = 3
/
ATOMIC_SPECIES
Ba 137.33 Ba.upf
Mn 54.94 Mn.upf
Ru 101.07 Ru.upf
CELL_PARAMETERS angstrom
-2.384 2.384 3.381
2.384 -2.384 3.381
2.384 2.384 -3.381
ATOMIC_POSITIONS crystal
Ba 0.000 0.000 0.000
Mn 0.250 0.750 0.500
Ru 0.500 0.500 0.000
Ru 0.750 0.250 0.500
! calculated volume = 76.9 Å³/cell
! electronic total energy = -25.51 eV per formula unit

***

No. 3
! Ba2MnRu (PBE, relaxed); values from VASP
&SYSTEM
  ibrav = 0, nat = 4, ntyp = 3
/
ATOMIC_SPECIES
Ba 137.33 Ba.upf
Mn 54.94 Mn.upf
Ru 101.07 Ru.upf
CELL_PARAMETERS angstrom
3.630 0.000 0.000
0.000 3.630 0.000
0.000 0.000 9.427
ATOMIC_POSITIONS crystal
Ba 0.000 0.000 0.000
Ba 0.500 0.500 0.429
Mn 0.000 0.000 0.676
Ru 0.500 0.500 0.747
! calculated volume = 124.2 Å³/cell
! electronic total energy = -20.45 eV per formula unit

***

No. 4
! Ba2MnRu (PBE, relaxed); values from VASP
&SYSTEM
  ibrav = 0, nat = 4, ntyp = 3
/
ATOMIC_SPECIES
Ba 137.33 Ba.upf
Mn 54.94 Mn.upf
Ru 101.07 Ru.upf
CELL_PARAMETERS angstrom
5.365 0.000 0.000
0.000 5.365 0.000
0.000 0.000 4.159
ATOMIC_POSITIONS crystal
Ba 0.000 0.500 0.000
Ba 0.500 0.000 0.000
Mn 0.000 0.000 0.500
Ru 0.500 0.500 0.500
! calculated volume = 119.7 Å³/cell
! electronic total energy = -18.99 eV per formula unit

***

No. 5
! Ba2MnRu (PBE, relaxed); values from VASP
&SYSTEM
  ibrav = 0, nat = 4, ntyp = 3
/
ATOMIC_SPECIES
Ba 137.33 Ba.upf
Mn 54.94 Mn.upf
Ru 101.07 Ru.upf
CELL_PARAMETERS angstrom
1.927 1.113 9.892
-1.927 1.113 9.892
0.000 -2.226 9.892
ATOMIC_POSITIONS crystal
Ba 0.239 0.239 0.239
Ba 0.761 0.761 0.761
Mn 0.000 0.000 0.000
Ru 0.500 0.500 0.500
! calculated volume = 127.3 Å³/cell
! electronic total energy = -18.45 eV per formula unit

***

No. 6
! BaMnRu2 (PBE, relaxed); values from VASP
&SYSTEM
  ibrav = 0, nat = 4, ntyp = 3
/
ATOMIC_SPECIES
Ba 137.33 Ba.upf
Mn 54.94 Mn.upf
Ru 101.07 Ru.upf
CELL_PARAMETERS angstrom
3.192 0.000 0.000
0.000 4.655 0.000
0.000 0.000 5.129
ATOMIC_POSITIONS crystal
Ba 0.000 0.000 0.000
Mn 0.500 0.000 0.500
Ru 0.000 0.500 0.500
Ru 0.500 0.500 0.000
! calculated volume = 76.2 Å³/cell
! electronic total energy = -25.33 eV per formula unit

***

No. 7
! BaMnRu2 (PBE, relaxed); values from VASP
&SYSTEM
  ibrav = 0, nat = 4, ntyp = 3
/
ATOMIC_SPECIES
Ba 137.33 Ba.upf
Mn 54.94 Mn.upf
Ru 101.07 Ru.upf
CELL_PARAMETERS angstrom
3.116 0.000 0.000
0.000 3.116 0.000
0.000 0.000 7.813
ATOMIC_POSITIONS crystal
Ba 0.000 0.000 0.000
Mn 0.000 0.000 0.500
Ru 0.500 0.500 0.328
Ru 0.500 0.500 0.672
! calculated volume = 75.9 Å³/cell
! electronic total energy = -27.39 eV per formula unit

***

No. 8
! Ba4MnRu (PBE, relaxed); values from VASP
&SYSTEM
  ibrav = 0, nat = 6, ntyp = 3
/
ATOMIC_SPECIES
Ba 137.33 Ba.upf
Mn 54.94 Mn.upf
Ru 101.07 Ru.upf
CELL_PARAMETERS angstrom
0.000 4.904 4.904
4.904 0.000 4.904
4.904 4.904 0.000
ATOMIC_POSITIONS crystal
Ba 0.376 0.376 0.376
Ba 0.376 0.376 0.873
Ba 0.376 0.873 0.376
Ba 0.873 0.376 0.376
Mn 0.000 0.000 0.000
Ru 0.750 0.750 0.750
! calculated volume = 235.9 Å³/cell
! electronic total energy = -18.44 eV per formula unit